Entry 1:
DFT (PBE-GGA) results for a relaxed Sr2MoRu crystal.

Computed properties:
Crystal system   cubic
ΔE_f   1.0326 eV/atom
E   -4.8350 eV per atom

a b c (Å): 5.058 5.058 5.058
angles (deg): 60.00 60.00 60.00
Atoms (fractional coordinates):
Mo 0.500 0.500 0.500
Ru 0.750 0.750 0.750
Sr 0.000 0.000 0.000
Sr 0.250 0.250 0.250



Entry 2:
DFT (PBE-GGA) results for a relaxed Y3HPb crystal.

Computed properties:
Crystal system   monoclinic
E   -5.6385 eV per atom

a b c (Å): 5.923 6.707 6.170
angles (deg): 90.00 101.87 90.00
Atoms (fractional coordinates):
Pb 0.605 0.250 0.851
Pb 0.395 0.750 0.149
Y 0.905 0.990 0.231
Y 0.095 0.010 0.769
Y 0.905 0.510 0.231
Y 0.095 0.490 0.769
Y 0.423 0.250 0.345
Y 0.577 0.750 0.655
H 0.077 0.250 0.460
H 0.923 0.750 0.540



Number 1: energy above the most stable polymorph in this dataset 0.768 eV/atom. Number 2: energy above the most stable polymorph in this dataset 0.113 eV/atom.